Material: NdZn11Cu
Method: DFT, PBE
State: optimized geometry

a = 5.202 Å, b = 12.611 Å, c = 6.815 Å
α = 90.00°, β = 112.16°, γ = 90.00°
Space group C2/m (No. 12)
One atom of each set of equivalent atoms:
Nd (0.000, 0.000, 0.000)
Zn (0.000, 0.000, 0.500)
Zn (0.108, 0.390, 0.224)
Zn (0.190, 0.176, 0.358)
Zn (0.250, 0.250, 0.000)
Cu (0.000, 0.500, 0.500)

crystal system	monoclinic
energy relative to the elements	-0.19	eV per atom
M_tot	0.0	μB/f.u.